Density functional theory data (PBE+U) for a relaxed structure of RbCo2NF.

Results
* calculated total energy: -2.172 eV/atom
* size of the total moment: 4.0 μB/f.u.

Cell and atoms, written as POSCAR:
```
RbCo2NF
1.0
5.6556 0.0000 0.0000
0.0000 4.3188 0.0000
0.0000 0.0000 5.6556
Co Rb N F
2 1 1 1
Direct
0.5000 0.0000 0.0000
0.0000 0.0000 0.5000
0.0000 0.0000 0.0000
0.0000 0.5000 0.0000
0.5000 0.5000 0.5000
```